VASP calculation (PBE with a Hubbard U) on an optimized crystal structure of LiTiNiF6.

Lattice parameters (Å, degrees): 8.745 8.745 4.628 90.00 90.00 120.00
Sites, in units of the cell vectors:
Li 0.000 0.695 0.000
Li 0.305 0.305 0.000
Li 0.695 0.000 0.000
Ti 0.000 0.353 0.500
Ti 0.353 0.000 0.500
Ti 0.647 0.647 0.500
Ni 0.000 0.000 0.500
Ni 0.333 0.667 0.991
Ni 0.667 0.333 0.009
F 0.103 0.227 0.728
F 0.110 0.567 0.755
F 0.124 0.897 0.728
F 0.206 0.446 0.238
F 0.227 0.103 0.272
F 0.240 0.794 0.238
F 0.433 0.543 0.755
F 0.446 0.206 0.762
F 0.457 0.890 0.755
F 0.543 0.433 0.245
F 0.554 0.760 0.238
F 0.567 0.110 0.245
F 0.760 0.554 0.762
F 0.773 0.876 0.728
F 0.794 0.240 0.762
F 0.876 0.773 0.272
F 0.890 0.457 0.245
F 0.897 0.124 0.272

Output
energy relative to the lowest polymorph listed for this composition: 0 meV/atom
space-group type: No. 150
crystal system: trigonal
calculated total energy: -5.46 eV per atom